Density functional theory data (PBE-GGA) for RbCaAs2 after structural relaxation.

abc: 7.6553 7.6553 7.6553
angles: 90.00 90.00 90.00
Closest atoms and distances in Å follow each position.
Sites, in units of the cell vectors:
Rb: 0.0000 0.0000 0.0000  8 As 3.31
Rb: 0.0000 0.5000 0.5000  8 As 3.31
Rb: 0.5000 0.0000 0.5000  8 As 3.31
Rb: 0.5000 0.5000 0.0000  8 As 3.31
Ca: 0.0000 0.0000 0.5000  8 As 3.31
Ca: 0.0000 0.5000 0.0000  8 As 3.31
Ca: 0.5000 0.0000 0.0000  8 As 3.31
Ca: 0.5000 0.5000 0.5000  8 As 3.31
As: 0.2500 0.2500 0.2500  4 Ca 3.31, 4 Rb 3.31
As: 0.2500 0.2500 0.7500  4 Rb 3.31, 4 Ca 3.31
As: 0.2500 0.7500 0.2500  4 Rb 3.31, 4 Ca 3.31
As: 0.2500 0.7500 0.7500  4 Ca 3.31, 4 Rb 3.31
As: 0.7500 0.2500 0.2500  4 Rb 3.31, 4 Ca 3.31
As: 0.7500 0.2500 0.7500  4 Ca 3.31, 4 Rb 3.31
As: 0.7500 0.7500 0.2500  4 Ca 3.31, 4 Rb 3.31
As: 0.7500 0.7500 0.7500  4 Rb 3.31, 4 Ca 3.31

Output
Formation enthalpy at 0 K = -0.2426 eV/atom
Total moment = 0.00 μB/cell
Energy above the lowest structure with this stoichiometry = 121.0 meV/atom
E = -3.310 eV per atom